(1)
# Mn2TlTc (PBE-GGA, optimized geometry)
data_Mn2TlTc
_cell_length_a 4.796
_cell_length_b 4.796
_cell_length_c 4.796
_cell_angle_alpha 129.91
_cell_angle_beta 129.91
_cell_angle_gamma 73.55
_symmetry_space_group_name_H-M 'P 1'
_symmetry_Int_Tables_number 1
_symmetry_space_group_name_Hall 'P 1'
loop_
_atom_site_label
_atom_site_type_symbol
_atom_site_fract_x
_atom_site_fract_y
_atom_site_fract_z
Mn1 Mn 0.000 0.000 0.000
Mn2 Mn 0.250 0.750 0.500
Tc1 Tc 0.500 0.500 0.000
Tl1 Tl 0.750 0.250 0.500
# ΔH_f (0 K): 0.5353 eV per atom

(2)
# ReOs2Rh (PBE-GGA, optimized geometry)
data_ReOs2Rh
_cell_length_a 5.646
_cell_length_b 5.646
_cell_length_c 6.733
_cell_angle_alpha 65.21
_cell_angle_beta 65.21
_cell_angle_gamma 90.00
_symmetry_space_group_name_H-M 'P 1'
_symmetry_Int_Tables_number 1
_symmetry_space_group_name_Hall 'P 1'
loop_
_atom_site_label
_atom_site_type_symbol
_atom_site_fract_x
_atom_site_fract_y
_atom_site_fract_z
Re1 Re 0.000 0.000 0.000
Re2 Re 0.750 0.250 0.500
Os1 Os 0.624 0.125 0.250
Os2 Os 0.126 0.625 0.250
Os3 Os 0.375 0.376 0.750
Os4 Os 0.875 0.874 0.750
Rh1 Rh 0.500 0.500 0.000
Rh2 Rh 0.250 0.750 0.500
# distance to the lowest polymorph of the same formula: 1239.0 meV/atom
# ΔH_f (0 K): 1.2768 eV per atom